Entry 1:
Entry from OQMD: crystalline BeFeRe2 at its relaxed geometry (PBE-GGA).

POSCAR file:
```
BeFeRe2
1.0
-1.160 -3.252 -2.270
-3.014 0.403 -2.798
0.894 -0.129 -4.032
Fe Re Be
1 2 1
Cartesian
-0.820 -0.745 -2.275
-2.460 -2.234 -6.826
0.000 0.000 0.000
-1.640 -1.489 -4.550
```

## Properties
As for the space-group type: F-43m, No. 216. As for the total moment: 0.020 Bohr magnetons per cell. As for the calculated density: 14.6 g/cm³. The total DFT energy (no corrections) is -9.15 eV per atom.


Entry 2:
Entry from OQMD: crystalline Nd3Mg3Cd2Hg at its relaxed geometry (PBE-GGA).

POSCAR file:
```
Nd3Mg3Cd2Hg
1.0
-2.026 -0.537 7.261
1.306 -6.257 -4.031
4.638 0.128 1.304
Mg Nd Hg Cd
3 3 1 2
Cartesian
2.148 -1.545 1.417
0.772 -0.346 6.193
3.316 -4.711 -2.425
0.549 -2.628 -1.693
-0.851 -0.226 3.049
-0.418 -3.941 1.873
0.000 0.000 0.000
2.514 -4.286 0.385
1.403 -2.380 4.149
```

## Properties
As for the space-group type: P-62m, No. 189. As for the total moment: 0.012 Bohr magnetons per cell. As for the calculated density: 6.5 g/cm³. The total DFT energy (no corrections) is -2.65 eV per atom.


Entry 3:
Entry from OQMD: crystalline Tm2Al4CoIr at its relaxed geometry (PBE-GGA).

POSCAR file:
```
Tm2Al4CoIr
1.0
7.088 0.000 0.000
0.000 2.047 4.938
0.000 -2.047 4.938
Al Tm Co Ir
4 2 1 1
Cartesian
1.328 0.000 1.505
4.992 0.000 8.357
5.760 0.000 1.505
2.095 0.000 8.357
0.000 0.000 4.313
3.544 0.000 5.608
0.000 0.000 7.051
3.544 0.000 2.811
```

## Properties
As for the space-group type: Amm2, No. 38. As for the total moment: 0.010 Bohr magnetons per cell. As for the calculated density: 8.1 g/cm³. The total DFT energy (no corrections) is -5.68 eV per atom.


Entry 4:
Entry from OQMD: crystalline NiI4 at its relaxed geometry (PBE-GGA).

POSCAR file:
```
NiI4
1.0
5.669 -5.707 0.000
5.669 5.707 0.000
-3.830 0.000 10.560
I Ni
16 4
Cartesian
4.189 1.177 7.156
1.694 -4.234 9.183
3.898 -4.234 6.657
3.610 4.234 3.903
-1.282 -1.156 9.553
4.613 -1.698 9.361
8.789 1.156 1.008
5.813 4.234 1.377
6.528 1.698 4.081
3.318 -1.177 3.404
0.633 1.156 4.273
1.403 1.177 8.684
2.894 1.698 1.199
6.874 -1.156 6.288
6.104 -1.177 1.876
0.979 -1.698 6.479
0.661 -1.420 3.934
6.846 1.420 6.626
-1.254 1.420 9.214
8.762 -1.420 1.346
```

## Properties
As for the space-group type: C2/c, No. 15. As for the total moment: 0.001 Bohr magnetons per cell. As for the calculated density: 5.5 g/cm³. The total DFT energy (no corrections) is -2.35 eV per atom. The value obtained for the relative energy among the computed polymorphs is 0.000 eV/f.u.


- calculated density of number 2 (Nd3Mg3Cd2Hg)?
  6.5 g/cm³


Copy entry 1 word for word.
Entry from OQMD: crystalline BeFeRe2 at its relaxed geometry (PBE-GGA).

POSCAR file:
```
BeFeRe2
1.0
-1.160 -3.252 -2.270
-3.014 0.403 -2.798
0.894 -0.129 -4.032
Fe Re Be
1 2 1
Cartesian
-0.820 -0.745 -2.275
-2.460 -2.234 -6.826
0.000 0.000 0.000
-1.640 -1.489 -4.550
```

## Properties
As for the space-group type: F-43m, No. 216. As for the total moment: 0.020 Bohr magnetons per cell. As for the calculated density: 14.6 g/cm³. The total DFT energy (no corrections) is -9.15 eV per atom.


- total DFT energy (no corrections) of number 2 (Nd3Mg3Cd2Hg)?
  -2.65 eV per atom